No. 1
LiVFeO4: relaxed, PBE+U.

Unit cell a=5.323 b=5.849 c=7.988 alpha=101.84 beta=110.70 gamma=91.03
Sites, in units of the cell vectors:
V 0.494 0.747 0.999
V 0.480 0.084 0.328
V 0.511 0.911 0.669
O 0.720 0.219 0.818
O 0.735 0.335 0.475
O 0.278 0.306 0.185
O 0.300 0.963 0.825
O 0.704 0.707 0.833
O 0.310 0.610 0.511
O 0.685 0.041 0.152
O 0.292 0.798 0.172
O 0.699 0.883 0.504
O 0.709 0.543 0.157
O 0.272 0.471 0.857
O 0.289 0.127 0.510
Li 0.999 0.515 0.006
Li 0.002 0.337 0.333
Li 0.005 0.157 0.659
Fe 0.517 0.581 0.343
Fe 0.491 0.254 0.998
Fe 0.509 0.414 0.668

Computed properties:
Electronic total energy ... -140.020 eV for the cell shown
ΔE to the lowest computed polymorph ... 188 meV per atom
Space group ... P1, No. 1

No. 2
Li5V5Fe2O12: relaxed, PBE+U.

Unit cell a=5.188 b=5.188 c=9.957 alpha=84.88 beta=84.88 gamma=119.52
Sites, in units of the cell vectors:
Li 0.335 0.165 0.739
Li 0.151 0.309 0.264
Li 0.691 0.849 0.736
Li 0.078 0.922 0.500
Li 0.835 0.665 0.261
V 0.576 0.424 0.000
V 0.003 0.513 0.739
V 0.915 0.085 0.000
V 0.425 0.575 0.500
V 0.487 0.997 0.261
O 0.153 0.627 0.373
O 0.715 0.538 0.627
O 0.373 0.847 0.627
O 0.268 0.446 0.881
O 0.061 0.227 0.625
O 0.842 0.351 0.122
O 0.217 0.062 0.119
O 0.773 0.939 0.375
O 0.649 0.158 0.878
O 0.554 0.732 0.119
O 0.462 0.285 0.373
O 0.938 0.783 0.881
Fe 0.755 0.245 0.500
Fe 0.245 0.755 0.000

Computed properties:
Electronic total energy ... -164.531 eV for the cell shown
Space group ... C2, No. 5

No. 3
Li11FeW7O28: relaxed, PBE+U.

Unit cell a=8.525 b=8.525 c=8.478 alpha=89.78 beta=89.78 gamma=89.59
Sites, in units of the cell vectors:
O 0.147 0.387 0.612
O 0.858 0.626 0.123
O 0.623 0.117 0.881
O 0.119 0.385 0.124
O 0.385 0.856 0.384
O 0.618 0.855 0.617
O 0.377 0.879 0.876
O 0.124 0.124 0.376
O 0.621 0.404 0.145
O 0.385 0.385 0.850
O 0.395 0.395 0.390
O 0.147 0.621 0.370
O 0.613 0.613 0.390
O 0.615 0.615 0.855
O 0.611 0.392 0.605
O 0.385 0.119 0.124
O 0.875 0.123 0.620
O 0.621 0.147 0.370
O 0.855 0.618 0.617
O 0.117 0.623 0.881
O 0.879 0.377 0.876
O 0.856 0.385 0.384
O 0.387 0.147 0.612
O 0.123 0.875 0.620
O 0.626 0.858 0.123
O 0.404 0.621 0.145
O 0.877 0.877 0.376
O 0.392 0.611 0.605
Li 0.915 0.350 0.645
Li 0.345 0.345 0.084
Li 0.648 0.908 0.362
Li 0.084 0.651 0.653
Li 0.350 0.915 0.645
Li 0.908 0.648 0.362
Li 0.651 0.084 0.653
Li 0.352 0.092 0.356
Li 0.644 0.349 0.901
Li 0.092 0.352 0.356
Li 0.349 0.644 0.901
Fe 0.630 0.630 0.115
W 0.000 0.000 0.498
W 0.356 0.356 0.639
W 0.993 0.502 0.001
W 0.646 0.357 0.366
W 0.645 0.645 0.642
W 0.502 0.993 0.001
W 0.357 0.646 0.366

Computed properties:
Electronic total energy ... -311.223 eV for the cell shown
Space group ... Cm, No. 8